Here is an optimized crystal structure of UTaVC3 from Alexandria. Energies are from PBE.

Lattice parameters (Å, degrees): 6.7828 3.1102 7.8160 90.00 98.31 90.00
Closest atoms and distances in Å follow each position.
Space group P2_1/m (No. 11)
Asymmetric unit:
U (0.1575, 0.2500, 0.1866) (multiplicity 2)  7 C 2.40-2.50
Ta (0.3545, 0.7500, 0.8714) (multiplicity 2)  5 C 2.14-2.22
V (0.1362, 0.2500, 0.5895) (multiplicity 2)  4 C 1.99-2.16
C (0.1243, 0.2500, 0.8641) (multiplicity 2)  1 V 2.16, 2 Ta 2.20
C (0.1674, 0.7500, 0.4361) (multiplicity 2)  3 V 1.99-2.04
C (0.4165, 0.7500, 0.1474) (multiplicity 2)  3 Ta 2.14-2.22

Calculated values
**Uncorrected energy**: -10.1428 eV/atom
**Formation energy from the elements**: -0.1543 eV per atom
**Total magnetic moment**: 0.00 μB per atom
**Theoretical density**: 10.3 Mg/m³

Here is an optimized crystal structure of Rb2CdInSb2 from Alexandria. Energies are from PBE.

Lattice parameters (Å, degrees): 7.3258 16.6228 7.3516 90.00 90.00 90.00
Closest atoms and distances in Å follow each position.
Space group Ibam (No. 72)
Asymmetric unit:
Rb (0.2496, 0.1682, 0.0000) (multiplicity 8)  5 Sb 3.81-3.90, 2 Cd 3.81, 2 In 3.82
Cd (0.0000, 0.0000, 0.2500) (multiplicity 4)  4 Sb 3.03
In (0.0000, 0.5000, 0.2500) (multiplicity 4)  4 Sb 3.08
Sb (0.2445, 0.0970, 0.5000) (multiplicity 8)  2 Cd 3.03, 2 In 3.08

Calculated values
**Uncorrected energy**: -2.6698 eV/atom
**Uncorrected formation energy**: -0.36 eV per atom
**Total magnetic moment**: 0.00 μB per atom
**Theoretical density**: 4.8 Mg/m³

Here is an optimized crystal structure of AcErLuAl from Alexandria. Energies are from PBE.

Lattice parameters (Å, degrees): 7.7876 7.7876 7.7876 90.00 90.00 90.00
Closest atoms and distances in Å follow each position.
Space group F-43m (No. 216)
Asymmetric unit:
Ac (0.0000, 0.0000, 0.0000) (multiplicity 4)  4 Lu 3.37, 4 Al 3.37
Er (0.0000, 0.0000, 0.5000) (multiplicity 4)  4 Al 3.37, 4 Lu 3.37
Lu (0.2500, 0.2500, 0.2500) (multiplicity 4)  4 Er 3.37, 4 Ac 3.37
Al (0.2500, 0.2500, 0.7500) (multiplicity 4)  4 Ac 3.37, 4 Er 3.37

Calculated values
**Uncorrected energy**: -4.2355 eV/atom
**Formation energy from the elements**: -0.0018 eV per atom
**Total magnetic moment**: 0.13 μB per atom
**Theoretical density**: 8.4 Mg/m³

Here is an optimized crystal structure of La2HN from Alexandria. Energies are from PBE.

Lattice parameters (Å, degrees): 6.3725 6.3725 6.3725 90.00 90.00 90.00
Closest atoms and distances in Å follow each position.
Space group Fm-3m (No. 225)
Asymmetric unit:
La (0.2500, 0.2500, 0.2500) (multiplicity 8)  4 H 2.76, 4 N 2.76
H (0.0000, 0.0000, 0.0000) (multiplicity 4)  8 La 2.76
N (0.0000, 0.0000, 0.5000) (multiplicity 4)  8 La 2.76

Calculated values
**Uncorrected energy**: -5.8509 eV/atom
**Total magnetic moment**: 0.00 μB per atom
**Theoretical density**: 7.5 Mg/m³

Here is an optimized crystal structure of TiGe2Bi2 from Alexandria. Energies are from PBE.

Lattice parameters (Å, degrees): 7.0184 7.0184 4.7954 90.00 90.00 90.00
Closest atoms and distances in Å follow each position.
Space group P4/mbm (No. 127)
Asymmetric unit:
Ti (0.0000, 0.0000, 0.0000) (multiplicity 2)  4 Ge 2.72
Ge (0.1387, 0.3613, 0.0000) (multiplicity 4)  2 Ti 2.72, 1 Ge 2.75, 2 Bi 3.04
Bi (0.1727, 0.6727, 0.5000) (multiplicity 4)  6 Ge 3.04-3.25

Calculated values
**Uncorrected energy**: -4.8316 eV/atom
**Formation energy from the elements**: 0.1467 eV per atom
**Total magnetic moment**: 0.12 μB per atom
**Theoretical density**: 8.6 Mg/m³

Here is an optimized crystal structure of SmRhS2 from Alexandria. Energies are from PBE.

Lattice parameters (Å, degrees): 3.6605 3.6605 23.4947 90.00 90.00 120.00
Closest atoms and distances in Å follow each position.
Space group R-3m (No. 166, hexagonal axes)
Asymmetric unit:
Sm (0.0000, 0.0000, 0.0000) (multiplicity 3)  2 S 2.76
Rh (0.0000, 0.0000, 0.5000) (multiplicity 3)  6 S 2.41
S (0.0000, 0.0000, 0.1173) (multiplicity 6)  3 Rh 2.41

Calculated values
**Uncorrected energy**: -5.6387 eV/atom
**Uncorrected formation energy**: -0.56 eV per atom
**Total magnetic moment**: 0.00 μB per atom
**Theoretical density**: 5.8 Mg/m³

Here is an optimized crystal structure of Ca4Zn2Cd5 from Alexandria. Energies are from PBE.

Lattice parameters (Å, degrees): 7.6791 3.8867 9.6899 90.00 92.84 90.00
Closest atoms and distances in Å follow each position.
Space group P2/m (No. 10)
Asymmetric unit:
Ca (0.1755, 0.0000, 0.3688) (multiplicity 2)  2 Zn 3.13, 8 Cd 3.34-3.41
Ca (0.2568, 0.0000, 0.9364) (multiplicity 2)  4 Zn 3.13-3.15, 6 Cd 3.34-3.35
Zn (0.0592, 0.5000, 0.1281) (multiplicity 2)  1 Zn 2.60, 2 Cd 2.88-2.90
Cd (0.1876, 0.5000, 0.6578) (multiplicity 2)  1 Zn 2.88, 2 Cd 2.91-3.21
Cd (0.4337, 0.5000, 0.1874) (multiplicity 2)  1 Zn 2.90, 2 Cd 3.05-3.21
Cd (0.5000, 0.5000, 0.5000) (multiplicity 1)  4 Cd 2.91-3.05

Calculated values
**Uncorrected energy**: -1.6423 eV/atom
**Formation energy from the elements**: -0.2669 eV per atom
**Total magnetic moment**: 0.00 μB per atom
**Theoretical density**: 4.9 Mg/m³

Here is an optimized crystal structure of Tb3Pm3Er5 from Alexandria. Energies are from PBE.

Lattice parameters (Å, degrees): 9.6157 9.6157 5.4758 90.00 90.00 120.00
Closest atoms and distances in Å follow each position.
Space group P-62m (No. 189)
Asymmetric unit:
Tb (0.0000, 0.4472, 0.0000) (multiplicity 3)  2 Er 3.24, 2 Pm 3.27
Pm (0.0000, 0.6322, 0.5000) (multiplicity 3)  4 Er 3.05-3.16, 2 Tb 3.27
Er (0.0000, 0.2663, 0.5000) (multiplicity 3)  3 Pm 3.16-3.52, 2 Tb 3.24
Er (0.3333, 0.6667, 0.5000) (multiplicity 2)  3 Pm 3.05

Calculated values
**Uncorrected energy**: -3.8215 eV/atom
**Formation energy from the elements**: 0.8109 eV per atom
**Total magnetic moment**: 0.00 μB per atom
**Theoretical density**: 6.6 Mg/m³

Here is an optimized crystal structure of La5Cd2Ga2 from Alexandria. Energies are from PBE.

Lattice parameters (Å, degrees): 17.4165 8.0356 7.9740 90.00 90.00 90.00
Closest atoms and distances in Å follow each position.
Space group Cmce (No. 64)
Asymmetric unit:
La (0.0000, 0.0000, 0.0000) (multiplicity 4)  4 Ga 3.21-3.24
La (0.1311, 0.1890, 0.3187) (multiplicity 16)  3 Ga 3.23-3.37, 3 Cd 3.29-3.35
Cd (0.2216, 0.0000, 0.0000) (multiplicity 8)  6 La 3.29-3.35
Ga (0.0000, 0.1127, 0.6144) (multiplicity 8)  1 Ga 2.57

Calculated values
**Uncorrected energy**: -3.9830 eV/atom
**Formation energy from the elements**: -0.3696 eV per atom
**Total magnetic moment**: 0.00 μB per atom
**Theoretical density**: 6.3 Mg/m³

Here is an optimized crystal structure of SrLiMgSc from Alexandria. Energies are from PBE.

Lattice parameters (Å, degrees): 7.7310 7.7310 7.7310 90.00 90.00 90.00
Closest atoms and distances in Å follow each position.
Space group F-43m (No. 216)
Asymmetric unit:
Sr (0.0000, 0.0000, 0.0000) (multiplicity 4)  4 Mg 3.35, 4 Li 3.35
Li (0.2500, 0.2500, 0.2500) (multiplicity 4)  4 Sc 3.35, 4 Sr 3.35
Mg (0.2500, 0.2500, 0.7500) (multiplicity 4)  4 Sc 3.35, 4 Sr 3.35
Sc (0.0000, 0.0000, 0.5000) (multiplicity 4)  4 Li 3.35, 4 Mg 3.35

Calculated values
**Uncorrected energy**: -2.7234 eV/atom
**Formation energy from the elements**: 0.1570 eV per atom
**Total magnetic moment**: 0.00 μB per atom
**Theoretical density**: 2.4 Mg/m³

Here is an optimized crystal structure of Nd6Ni2Br3Cl from Alexandria. Energies are from PBE.

Lattice parameters (Å, degrees): 7.2413 12.5322 7.8010 90.00 107.91 90.00
Closest atoms and distances in Å follow each position.
Space group C2/m (No. 12)
Asymmetric unit:
Nd (0.2044, 0.0000, 0.1976) (multiplicity 4)  2 Ni 2.75, 1 Cl 3.00
Nd (0.2487, 0.3190, 0.2002) (multiplicity 8)  2 Ni 2.74-2.75, 1 Cl 3.02
Ni (0.0000, 0.1672, 0.0000) (multiplicity 4)  6 Nd 2.74-2.75
Br (0.0000, 0.0000, 0.5000) (multiplicity 2)  6 Nd 3.15-3.36
Br (0.0000, 0.3412, 0.5000) (multiplicity 4)  6 Nd 3.19-3.37
Cl (0.0000, 0.5000, 0.0000) (multiplicity 2)  6 Nd 3.00-3.02

Calculated values
**Uncorrected energy**: -4.9097 eV/atom
**Uncorrected formation energy**: -0.99 eV per atom
**Total magnetic moment**: 0.00 μB per atom
**Theoretical density**: 6.2 Mg/m³

Here is an optimized crystal structure of TbPRh from Alexandria. Energies are from PBE.

Lattice parameters (Å, degrees): 6.7975 3.9178 11.8551 90.00 90.82 90.00
Closest atoms and distances in Å follow each position.
Space group P2_1/m (No. 11)
Asymmetric unit:
Tb (0.0273, 0.2500, 0.1223) (multiplicity 2)  5 P 2.84-2.89, 5 Rh 3.05-3.17
Tb (0.1507, 0.2500, 0.4199) (multiplicity 2)  5 P 2.86-2.94, 5 Rh 3.04-3.12
Tb (0.4696, 0.7500, 0.7913) (multiplicity 2)  5 P 2.80-2.89, 5 Rh 3.04-3.10
P (0.2335, 0.7500, 0.2511) (multiplicity 2)  3 Rh 2.56-2.67, 6 Tb 2.84-2.86
P (0.2741, 0.2500, 0.9297) (multiplicity 2)  3 Rh 2.39-2.57
P (0.2819, 0.7500, 0.5797) (multiplicity 2)  5 Rh 2.42-2.66
Rh (0.1333, 0.2500, 0.7044) (multiplicity 2)  4 P 2.56-2.82, 1 Rh 2.81
Rh (0.3509, 0.7500, 0.0374) (multiplicity 2)  4 P 2.39-2.67
Rh (0.4917, 0.2500, 0.5888) (multiplicity 2)  4 P 2.42-2.64

Calculated values
**Uncorrected energy**: -7.0313 eV/atom
**Formation energy from the elements**: -1.2341 eV per atom
**Total magnetic moment**: 0.00 μB per atom
**Theoretical density**: 9.2 Mg/m³